(1)
VASP calculation (PBE) on LaCeAs2Rh5 after structural relaxation.

Total magnetization = 0.0 μB/cell
Space-group type = No. 123
ΔH_f (0 K) = -0.51 eV/atom

```
LaCeAs2Rh5
1.0
4.076 0.000 0.000
0.000 4.076 0.000
0.000 0.000 11.355
La Ce As Rh
1 1 2 5
direct
0.000 0.000 0.000 La
0.500 0.500 0.500 Ce
0.500 0.500 0.211 As
0.500 0.500 0.789 As
0.000 0.500 0.324 Rh
0.000 0.500 0.676 Rh
0.500 0.000 0.324 Rh
0.500 0.000 0.676 Rh
0.500 0.500 0.000 Rh
```

(2)
VASP calculation (PBE) on NdMg4Tl7 after structural relaxation.

Total magnetization = 0.0 μB/cell
Space-group type = No. 12
ΔH_f (0 K) = 0.00 eV/atom

```
NdMg4Tl7
1.0
7.191 -3.018 0.000
7.191 3.018 0.000
-4.925 0.000 7.830
Nd Mg Tl
1 4 7
direct
0.000 0.000 0.000 Nd
0.305 0.305 0.666 Mg
0.475 0.475 0.305 Mg
0.525 0.525 0.695 Mg
0.695 0.695 0.334 Mg
0.069 0.069 0.405 Tl
0.208 0.208 0.892 Tl
0.275 0.275 0.315 Tl
0.500 0.500 0.000 Tl
0.725 0.725 0.685 Tl
0.792 0.792 0.108 Tl
0.931 0.931 0.595 Tl
```